[1]
Ho8PC3S4 | Alexandria via LeMat-Bulk | PBE-GGA | relaxed; calculated total energy = -6.817 eV per atom; formation energy without anion corrections = -22.9 eV/f.u.
1.0
7.536 0.000 0.000
0.000 7.685 0.100
-3.768 -3.765 5.332
Ho P C S
8 1 3 4
Cartesian
-1.789 1.874 5.251
0.000 3.661 2.719
0.000 0.231 2.826
1.789 1.874 5.251
1.979 2.047 0.180
3.768 3.690 2.605
3.768 0.260 2.712
5.557 2.047 0.180
0.000 3.843 0.050
3.768 3.843 0.050
1.884 1.960 2.716
-1.884 1.960 2.716
3.768 0.000 0.000
1.884 -1.882 2.666
0.000 0.000 0.000
-1.884 -1.882 2.666



[2]
MgV2Rh3 | Alexandria via LeMat-Bulk | PBE-GGA | relaxed; calculated total energy = -7.404 eV per atom
1.0
2.864 0.000 0.000
0.000 2.864 0.000
0.000 0.000 10.486
Mg V Rh
1 2 3
Cartesian
1.432 1.432 5.243
1.432 1.432 8.720
1.432 1.432 1.766
0.000 0.000 0.000
0.000 0.000 7.130
0.000 0.000 3.355



[3]
CaPm6Y | Alexandria via LeMat-Bulk | PBE-GGA | relaxed; calculated total energy = -4.575 eV per atom
1.0
-1.729 1.518 4.631
-1.611 -4.816 0.977
9.229 -2.239 4.179
Ca Pm Y
1 6 1
Cartesian
0.000 0.000 0.000
-1.670 -1.649 2.804
2.944 -2.769 4.894
1.503 0.184 3.388
5.997 -0.906 5.423
1.562 -2.982 1.560
6.056 -4.073 3.596
4.614 -1.119 2.090



[4]
SnSbPb | Alexandria via LeMat-Bulk | PBE-GGA | relaxed; calculated total energy = -3.872 eV per atom; formation energy without anion corrections = 0.2 eV/f.u.; energy above the most stable polymorph in this dataset = 18 meV per atom
1.0
-3.719 1.038 -1.876
-1.526 -0.363 2.971
-2.211 12.822 2.038
Sn Sb Pb
2 2 2
Cartesian
-4.461 3.844 -0.095
-3.639 1.409 1.866
-5.107 10.509 0.092
-3.658 7.934 0.715
-3.545 11.930 2.818
-3.042 5.105 2.857



[5]
K2ZrPtO6 | Alexandria via LeMat-Bulk | PBE-GGA | relaxed; calculated total energy = -6.274 eV per atom; formation energy without anion corrections = -16.2 eV/f.u.
1.0
5.763 0.000 0.000
2.882 4.991 0.000
2.882 1.664 4.706
K Zr Pt O
2 1 1 6
Cartesian
8.645 4.991 3.529
2.882 1.664 1.176
5.763 3.327 2.353
0.000 0.000 0.000
5.763 5.043 3.566
4.278 4.185 1.140
4.278 2.470 3.566
7.249 4.185 1.140
5.763 1.612 1.140
7.249 2.470 3.566



[6]
Ho3Tm6Th2 | Alexandria via LeMat-Bulk | PBE-GGA | relaxed; calculated total energy = -4.823 eV per atom; energy above the most stable polymorph in this dataset = 191 meV per atom
1.0
-3.580 -2.239 4.324
-4.035 -4.304 -1.345
6.479 -8.673 3.726
Ho Tm Th
3 6 2
Cartesian
0.000 0.000 0.000
-2.532 -2.172 1.003
-5.083 -4.371 1.976
0.657 -10.286 3.693
2.153 -8.166 6.034
3.196 -8.104 2.701
0.746 -2.747 2.016
-1.793 -4.929 3.013
-4.332 -7.111 4.004
-0.053 -7.586 1.679
-1.084 -7.629 5.027



[7]
Sc2CdSb | Alexandria via LeMat-Bulk | PBE-GGA | relaxed; calculated total energy = -4.930 eV per atom; formation energy without anion corrections = -2.0 eV/f.u.; energy above the most stable polymorph in this dataset = 11 meV per atom
1.0
5.933 -0.019 0.007
4.448 3.926 0.007
1.499 0.564 3.903
Cd Sb Sc
1 1 2
Cartesian
5.940 2.235 1.959
8.911 3.353 2.936
1.499 0.564 3.903
2.969 1.117 0.979



[8]
POsRh2 | Alexandria via LeMat-Bulk | PBE-GGA | relaxed; calculated total energy = -7.892 eV per atom
1.0
-1.483 -0.598 2.361
2.409 0.046 1.525
-0.844 6.570 1.133
P Os Rh
1 1 2
Cartesian
-0.169 4.640 2.791
-0.451 3.514 0.606
-0.807 6.281 1.083
0.242 1.441 2.239



[9]
Al2ReMo | Alexandria via LeMat-Bulk | PBE-GGA | relaxed; calculated total energy = -8.000 eV per atom; energy above the most stable polymorph in this dataset = 0 meV per atom
1.0
-0.102 -0.016 3.158
1.911 -2.515 0.049
4.740 3.606 0.172
Re Mo Al
1 1 2
Cartesian
4.474 1.449 1.733
2.381 1.811 0.086
4.712 3.584 0.171
2.093 -0.362 1.646



[10]
Sc6Ga2Hg | Alexandria via LeMat-Bulk | PBE-GGA | relaxed; calculated total energy = -5.349 eV per atom
1.0
-5.424 -4.110 -4.261
3.456 5.803 -4.342
6.143 -4.587 2.386
Sc Ga Hg
12 4 2
Cartesian
4.590 -1.750 -3.473
-0.414 -1.145 -2.744
5.462 -2.499 0.339
-1.286 -0.395 -6.556
1.662 -1.449 -5.358
2.514 -1.445 -0.859
7.375 -0.830 -1.850
-3.199 -2.065 -4.368
1.657 -3.783 -3.064
2.519 0.888 -3.154
5.927 1.320 -3.848
-1.751 -4.214 -2.369
3.951 -3.893 -1.669
0.225 0.999 -4.548
0.468 -5.658 -1.220
0.251 -3.039 -0.655
4.800 0.608 -0.978
0.000 0.000 0.000



[11]
SmDy2Ho4Tm2 | Alexandria via LeMat-Bulk | PBE-GGA | relaxed; calculated total energy = -4.574 eV per atom
1.0
3.563 0.000 0.000
-1.782 9.235 -0.468
0.000 -3.671 8.720
Sm Dy Ho Tm
1 2 4 2
Cartesian
0.000 0.000 0.000
1.782 5.278 2.575
0.000 0.286 5.677
1.782 3.364 5.507
0.000 2.200 2.745
1.782 -0.882 2.901
0.000 6.446 5.351
0.000 2.469 8.398
1.782 3.095 -0.147



[12]
Mg2ReTc | Alexandria via LeMat-Bulk | PBE-GGA | relaxed; calculated total energy = -6.296 eV per atom; energy above the most stable polymorph in this dataset = 187 meV per atom
1.0
4.405 0.000 0.000
0.000 2.779 -0.001
0.000 1.019 5.374
Mg Re Tc
2 1 1
Cartesian
0.000 3.735 5.360
2.203 1.000 1.360
0.000 2.043 2.826
2.203 2.717 3.886



[13]
ZrOs2Ru | Alexandria via LeMat-Bulk | PBE-GGA | relaxed; calculated total energy = -10.038 eV per atom; energy above the most stable polymorph in this dataset = 89 meV per atom
1.0
-0.094 4.023 -2.696
-3.482 -3.027 -1.476
-1.820 1.194 1.846
Os Ru Zr
2 1 1
Cartesian
0.000 0.000 0.000
-1.788 0.498 -2.086
-0.957 2.608 -0.425
-2.651 -0.916 0.185



[14]
PuTlInSe3 | Alexandria via LeMat-Bulk | PBE-GGA | relaxed; calculated total energy = -5.747 eV per atom; formation energy without anion corrections = -4.6 eV/f.u.
1.0
-2.035 -3.958 -0.287
7.722 -4.031 0.848
-3.875 1.308 9.427
Pu Tl In Se
2 2 2 6
Cartesian
4.292 -3.587 1.712
-2.480 -3.095 8.276
1.343 -5.026 7.812
0.469 -1.655 2.176
-2.134 -0.589 5.919
3.946 -6.093 4.069
3.745 -3.544 4.991
5.040 -6.479 1.645
1.566 -4.696 1.683
-1.933 -3.138 4.997
0.247 -1.986 8.306
-3.228 -0.202 8.343



[15]
CaBe2Cu | Alexandria via LeMat-Bulk | PBE-GGA | relaxed; calculated total energy = -2.688 eV per atom; energy above the most stable polymorph in this dataset = 723 meV per atom
1.0
-0.955 4.845 0.486
-3.645 -2.737 -2.663
-2.028 -0.077 1.882
Be Ca Cu
2 1 1
Cartesian
0.000 0.000 0.000
-1.491 2.384 1.184
-2.836 -1.407 -0.390
-2.300 1.054 -1.089



[16]
TeH | Alexandria via LeMat-Bulk | PBE-GGA | relaxed; calculated total energy = -2.987 eV per atom; energy above the most stable polymorph in this dataset = 95 meV per atom
1.0
11.025 0.000 0.000
0.000 11.025 0.000
0.000 0.000 3.114
Te H
8 8
Cartesian
4.805 3.071 0.000
6.219 7.954 0.000
7.954 4.805 0.000
3.071 6.219 0.000
10.318 8.583 1.557
0.707 2.441 1.557
2.441 10.318 1.557
8.583 0.707 1.557
4.849 8.971 0.000
6.176 2.053 0.000
2.053 4.849 0.000
8.971 6.176 0.000
10.361 3.459 1.557
0.663 7.566 1.557
7.566 10.361 1.557
3.459 0.663 1.557



[17]
ScZnCo | Alexandria via LeMat-Bulk | PBE-GGA | relaxed; calculated total energy = -5.219 eV per atom
1.0
1.642 2.294 -4.100
2.688 -3.847 1.657
-4.219 -2.629 -0.254
Sc Zn Co
2 2 2
Cartesian
-2.925 -2.121 -1.059
3.036 -2.060 -1.639
0.056 -2.091 -1.349
1.344 -1.924 0.828
-0.765 -3.238 0.701
-1.288 -0.167 -2.177



[18]
AcGe2Os2 | Alexandria via LeMat-Bulk | PBE-GGA | relaxed; calculated total energy = -7.528 eV per atom
1.0
-3.839 0.577 2.000
-1.730 -3.217 -2.393
4.174 -2.159 3.868
Ac Ge Os
1 2 2
Cartesian
0.000 0.000 0.000
-2.404 -2.273 0.809
1.009 -2.526 2.665
-1.224 -1.451 2.835
-0.170 -3.348 0.639



[19]
Na2PrSiSe4 | Alexandria via LeMat-Bulk | PBE-GGA | relaxed; calculated total energy = -4.367 eV per atom; formation energy without anion corrections = -8.2 eV/f.u.
1.0
-3.168 -1.292 -7.562
-5.391 -5.415 3.241
0.781 7.928 3.186
Na Pr Si Se
4 2 2 8
Cartesian
-1.584 -0.646 -3.781
-1.193 3.318 -2.188
0.391 3.964 1.593
-4.280 -3.354 -2.161
-2.696 -2.707 1.620
-5.473 -0.036 -4.348
-3.889 0.610 -0.567
-2.387 6.635 -4.376
-4.908 -4.473 0.781
-3.361 1.544 -3.021
-4.417 -0.323 1.886
-2.870 5.694 -1.916
-5.672 2.585 -0.166
-6.000 -0.764 -1.512
-1.778 1.984 0.377
-2.106 -1.365 -0.969



[20]
ScSi2Os | Alexandria via LeMat-Bulk | PBE-GGA | relaxed; calculated total energy = -7.511 eV per atom; formation energy without anion corrections = -1.6 eV/f.u.
1.0
-1.978 -0.364 2.180
2.147 -1.008 1.780
1.215 6.430 2.175
Os Sc Si
1 1 2
Cartesian
0.388 0.922 2.524
0.996 4.137 3.611
0.047 0.249 0.084
0.560 2.966 1.004